1.
Compound: BaAgPd2F8
Source: Alexandria via LeMat-Bulk
Functional: GGA-PBE
Structure: relaxed

Summary:
DOS(E_F) in states/eV per atom: 0.54
SG: I-4
ΔE_f (raw) in eV/atom: -1.8074

Cell lengths 6.049, 6.049, 6.601 Å; angles 117.27, 117.27, 90.00 degrees
Each line ends with the local moment (μB).
Element x y z (fractional)
1 Ba 0.750 0.250 0.500  0.00
2 Ag 0.000 0.000 0.000  0.03
3 Pd 0.500 0.500 0.000  0.37
4 Pd 0.250 0.750 0.500  0.40
5 F 0.646 0.812 0.019  0.02
6 F 0.373 0.207 0.019  0.02
7 F 0.570 0.660 0.517  0.03
8 F 0.946 0.856 0.517  0.03
9 F 0.144 0.430 0.483  0.03
10 F 0.340 0.054 0.483  0.03
11 F 0.188 0.627 0.981  0.02
12 F 0.793 0.354 0.981  0.02



2.
Compound: BaPmAgF6
Source: Alexandria via LeMat-Bulk
Functional: GGA-PBE
Structure: relaxed

Summary:
DOS(E_F) in states/eV per atom: 0.00
SG: P-31c
ΔE_f (raw) in eV/atom: -3.2699

Cell lengths 6.190, 6.190, 11.303 Å; angles 90.00, 90.00, 120.00 degrees
Each line ends with the local moment (μB).
Element x y z (fractional)
1 Ba 0.000 0.000 0.000  0.00
2 Ba 0.000 0.000 0.500  0.00
3 Pm 0.667 0.333 0.250  0.00
4 Pm 0.333 0.667 0.750  0.00
5 Ag 0.333 0.667 0.250  0.11
6 Ag 0.667 0.333 0.750  0.11
7 F 0.671 0.641 0.138  0.01
8 F 0.970 0.329 0.138  0.01
9 F 0.329 0.970 0.638  0.01
10 F 0.030 0.671 0.862  0.01
11 F 0.359 0.329 0.362  0.01
12 F 0.970 0.641 0.362  0.01
13 F 0.641 0.970 0.862  0.01
14 F 0.671 0.030 0.362  0.01
15 F 0.030 0.359 0.638  0.01
16 F 0.359 0.030 0.138  0.01
17 F 0.641 0.671 0.638  0.01
18 F 0.329 0.359 0.862  0.01



3.
Compound: BaPmAg2F8
Source: Alexandria via LeMat-Bulk
Functional: GGA-PBE
Structure: relaxed

Summary:
DOS(E_F) in states/eV per atom: 0.96
SG: I-4m2
ΔE_f (raw) in eV/atom: -2.7319

Cell lengths 5.756, 5.756, 7.168 Å; angles 113.67, 113.67, 90.00 degrees
Each line ends with the local moment (μB).
Element x y z (fractional)
1 Ba 0.750 0.250 0.500  0.00
2 Pm 0.000 0.000 0.000  0.00
3 Ag 0.500 0.500 0.000  0.37
4 Ag 0.250 0.750 0.500  0.35
5 F 0.884 0.865 0.230  0.05
6 F 0.347 0.365 0.230  0.05
7 F 0.635 0.653 0.769  0.05
8 F 0.134 0.116 0.769  0.05
9 F 0.884 0.365 0.231  0.05
10 F 0.347 0.866 0.231  0.05
11 F 0.135 0.653 0.770  0.05
12 F 0.635 0.116 0.770  0.05



4.
Compound: RbBaAgF6
Source: Alexandria via LeMat-Bulk
Functional: GGA-PBE
Structure: relaxed

Summary:
SG: C2
ΔE_f (raw) in eV/atom: -2.3258

Cell lengths 6.315, 6.315, 5.432 Å; angles 89.99, 90.01, 59.94 degrees
Each line ends with the local moment (μB).
Element x y z (fractional)
1 Rb 0.666 0.666 0.500  0.00
2 Ba 0.000 0.000 0.000  0.02
3 Ag 0.333 0.333 0.500  0.88
4 F 0.071 0.305 0.274  0.17
5 F 0.305 0.071 0.726  0.17
6 F 0.623 0.306 0.727  0.17
7 F 0.070 0.625 0.725  0.17
8 F 0.306 0.623 0.274  0.17
9 F 0.625 0.070 0.275  0.17



5.
Compound: RbBaAg2F8
Source: Alexandria via LeMat-Bulk
Functional: GGA-PBE
Structure: relaxed

Summary:
DOS(E_F) in states/eV per atom: 0.41
SG: I-4
ΔE_f (raw) in eV/atom: -2.0738

Cell lengths 6.371, 6.371, 6.887 Å; angles 117.55, 117.55, 90.00 degrees
Each line ends with the local moment (μB).
Element x y z (fractional)
1 Rb 0.750 0.250 0.500  0.00
2 Ba 0.000 0.000 0.000  0.01
3 Ag 0.500 0.500 0.000  0.39
4 Ag 0.250 0.750 0.500  0.01
5 F 0.651 0.810 0.025  0.08
6 F 0.375 0.216 0.025  0.08
7 F 0.571 0.716 0.523  0.00
8 F 0.952 0.806 0.523  0.00
9 F 0.194 0.429 0.477  0.00
10 F 0.284 0.048 0.477  0.00
11 F 0.190 0.625 0.975  0.08
12 F 0.784 0.349 0.975  0.08



6.
Compound: BaAg2RuF8
Source: Alexandria via LeMat-Bulk
Functional: GGA-PBE
Structure: relaxed

Summary:
DOS(E_F) in states/eV per atom: 0.40
SG: P2/m
ΔE_f (raw) in eV/atom: -2.0142

Cell lengths 4.588, 5.660, 7.757 Å; angles 89.99, 90.00, 94.10 degrees
Each line ends with the local moment (μB).
Element x y z (fractional)
1 Ba 0.000 0.000 0.500  0.00
2 Ag 0.500 0.500 0.753  0.03
3 Ag 0.500 0.500 0.247  0.03
4 Ru 0.000 0.000 0.000  1.50
5 F 0.127 0.796 0.190  0.04
6 F 0.652 0.787 0.000  0.09
7 F 0.873 0.204 0.190  0.04
8 F 0.873 0.204 0.810  0.04
9 F 0.348 0.213 0.000  0.09
10 F 0.127 0.796 0.810  0.04
11 F 0.496 0.747 0.500  0.00
12 F 0.504 0.253 0.500  0.00



7.
Compound: BaAgSF2
Source: Alexandria via LeMat-Bulk
Functional: GGA-PBE
Structure: relaxed

Summary:
DOS(E_F) in states/eV per atom: 0.41
SG: P4/mmm
ΔE_f (raw) in eV/atom: -0.6819

Cell lengths 4.507, 6.122, 4.507 Å; angles 90.00, 90.00, 90.00 degrees
Element x y z (fractional)
1 S 0.000 0.000 0.000
2 Ba 0.000 0.500 0.000
3 Ag 0.500 0.500 0.500
4 F 0.000 0.000 0.500
5 F 0.500 0.000 0.000



8.
Compound: BaScAg2F8
Source: Alexandria via LeMat-Bulk
Functional: GGA-PBE
Structure: relaxed

Summary:
DOS(E_F) in states/eV per atom: 0.32
SG: C2/m
ΔE_f (raw) in eV/atom: -2.6310

Cell lengths 5.221, 5.221, 8.074 Å; angles 90.15, 90.15, 67.85 degrees
Each line ends with the local moment (μB).
Element x y z (fractional)
1 Ba 0.000 0.000 0.500  0.00
2 Sc 0.000 0.000 0.000  0.00
3 Ag 0.683 0.683 0.207  0.32
4 Ag 0.317 0.317 0.793  0.32
5 F 0.798 0.244 0.804  0.03
6 F 0.770 0.770 0.958  0.04
7 F 0.689 0.689 0.469  0.08
8 F 0.311 0.311 0.531  0.08
9 F 0.230 0.230 0.042  0.04
10 F 0.244 0.798 0.804  0.03
11 F 0.756 0.202 0.196  0.03
12 F 0.202 0.756 0.196  0.03



9.
Compound: BaScAgF6
Source: Alexandria via LeMat-Bulk
Functional: GGA-PBE
Structure: relaxed

Summary:
DOS(E_F) in states/eV per atom: 0.00
SG: P-31c
ΔE_f (raw) in eV/atom: -3.2723

Cell lengths 5.999, 5.999, 10.832 Å; angles 90.00, 90.00, 120.00 degrees
Each line ends with the local moment (μB).
Element x y z (fractional)
1 Ba 0.000 0.000 0.000  0.00
2 Ba 0.000 0.000 0.500  0.00
3 Sc 0.667 0.333 0.250  0.00
4 Sc 0.333 0.667 0.750  0.00
5 Ag 0.333 0.667 0.250  0.11
6 Ag 0.667 0.333 0.750  0.11
7 F 0.673 0.616 0.142  0.00
8 F 0.944 0.327 0.142  0.00
9 F 0.327 0.944 0.642  0.00
10 F 0.056 0.673 0.858  0.00
11 F 0.384 0.327 0.358  0.00
12 F 0.944 0.616 0.358  0.00
13 F 0.616 0.944 0.858  0.00
14 F 0.673 0.056 0.358  0.00
15 F 0.056 0.384 0.642  0.00
16 F 0.384 0.056 0.142  0.00
17 F 0.616 0.673 0.642  0.00
18 F 0.327 0.384 0.858  0.00



10.
Compound: BaSiAg2F8
Source: Alexandria via LeMat-Bulk
Functional: GGA-PBE
Structure: relaxed

Summary:
DOS(E_F) in states/eV per atom: 0.00
SG: P2/m
ΔE_f (raw) in eV/atom: -2.5986

Cell lengths 4.600, 5.596, 7.478 Å; angles 90.03, 89.97, 98.02 degrees
Element x y z (fractional)
1 Ba 0.000 0.000 0.500
2 Si 0.000 0.000 0.000
3 Ag 0.500 0.500 0.760
4 Ag 0.500 0.500 0.240
5 F 0.135 0.832 0.166
6 F 0.684 0.797 0.000
7 F 0.865 0.168 0.166
8 F 0.865 0.168 0.834
9 F 0.316 0.203 0.000
10 F 0.135 0.832 0.834
11 F 0.466 0.744 0.500
12 F 0.534 0.256 0.500



11.
Compound: BaAg2SnF8
Source: Alexandria via LeMat-Bulk
Functional: GGA-PBE
Structure: relaxed

Summary:
SG: P2/m
ΔE_f (raw) in eV/atom: -2.3289

Cell lengths 4.605, 5.717, 7.902 Å; angles 90.00, 90.00, 95.48 degrees
Element x y z (fractional)
1 Ba 0.000 0.000 0.500
2 Ag 0.500 0.500 0.747
3 Ag 0.500 0.500 0.253
4 Sn 0.000 0.000 0.000
5 F 0.125 0.799 0.192
6 F 0.635 0.779 0.000
7 F 0.875 0.201 0.192
8 F 0.875 0.201 0.808
9 F 0.365 0.221 0.000
10 F 0.125 0.799 0.808
11 F 0.490 0.748 0.500
12 F 0.510 0.252 0.500



12.
Compound: BaTbAgF6
Source: Alexandria via LeMat-Bulk
Functional: GGA-PBE
Structure: relaxed

Summary:
DOS(E_F) in states/eV per atom: 0.00
SG: P-31c
ΔE_f (raw) in eV/atom: -3.3087

Cell lengths 6.131, 6.131, 11.205 Å; angles 90.00, 90.00, 120.00 degrees
Each line ends with the local moment (μB).
Element x y z (fractional)
1 Ba 0.000 0.000 0.000  0.00
2 Ba 0.000 0.000 0.500  0.00
3 Tb 0.667 0.333 0.250  0.00
4 Tb 0.333 0.667 0.750  0.00
5 Ag 0.333 0.667 0.250  0.11
6 Ag 0.667 0.333 0.750  0.11
7 F 0.672 0.634 0.139  0.00
8 F 0.962 0.328 0.139  0.00
9 F 0.328 0.962 0.639  0.00
10 F 0.038 0.672 0.861  0.00
11 F 0.366 0.328 0.361  0.00
12 F 0.962 0.634 0.361  0.00
13 F 0.634 0.962 0.861  0.00
14 F 0.672 0.038 0.361  0.00
15 F 0.038 0.366 0.639  0.00
16 F 0.366 0.038 0.139  0.00
17 F 0.634 0.672 0.639  0.00
18 F 0.328 0.366 0.861  0.00



13.
Compound: Ba2TcAgF
Source: Alexandria via LeMat-Bulk
Functional: GGA-PBE
Structure: relaxed

Summary:
DOS(E_F) in states/eV per atom: 1.07
SG: P4/mmm
ΔE_f (raw) in eV/atom: -0.2746

Cell lengths 5.296, 5.086, 5.296 Å; angles 90.00, 90.00, 90.00 degrees
Each line ends with the local moment (μB).
Element x y z (fractional)
1 F 0.000 0.000 0.000  -0.01
2 Ba 0.000 0.000 0.500  -0.05
3 Ba 0.500 0.000 0.000  -0.07
4 Ag 0.000 0.500 0.000  -0.01
5 Tc 0.500 0.500 0.500  2.51



14.
Compound: BaTl2Ag2F7
Source: Alexandria via LeMat-Bulk
Functional: GGA-PBE
Structure: relaxed

Summary:
DOS(E_F) in states/eV per atom: 0.38
SG: C2/m
ΔE_f (raw) in eV/atom: -1.9874

Cell lengths 4.482, 4.482, 11.837 Å; angles 78.72, 78.72, 87.90 degrees
Each line ends with the local moment (μB).
Element x y z (fractional)
1 Ba 0.000 0.000 0.000  0.00
2 Tl 0.778 0.778 0.371  0.00
3 Tl 0.222 0.222 0.629  0.00
4 Ag 0.601 0.601 0.798  0.26
5 Ag 0.399 0.399 0.202  0.26
6 F 0.500 0.500 0.000  0.11
7 F 0.362 0.362 0.406  0.02
8 F 0.638 0.638 0.594  0.02
9 F 0.921 0.424 0.161  0.05
10 F 0.424 0.921 0.161  0.05
11 F 0.576 0.079 0.839  0.05
12 F 0.079 0.576 0.839  0.05



15.
Compound: Ba2TlAgF8
Source: Alexandria via LeMat-Bulk
Functional: GGA-PBE
Structure: relaxed

Summary:
SG: P2/m
ΔE_f (raw) in eV/atom: -2.7086

Cell lengths 4.517, 5.857, 8.734 Å; angles 89.99, 90.00, 96.16 degrees
Element x y z (fractional)
1 Ba 0.500 0.500 0.752
2 Ba 0.500 0.500 0.248
3 Tl 0.000 0.000 0.000
4 Ag 0.000 0.000 0.500
5 F 0.051 0.759 0.196
6 F 0.569 0.777 0.000
7 F 0.949 0.240 0.196
8 F 0.949 0.241 0.804
9 F 0.431 0.223 0.000
10 F 0.051 0.760 0.804
11 F 0.622 0.739 0.500
12 F 0.378 0.261 0.500



16.
Compound: BaTl2Ag2F6
Source: Alexandria via LeMat-Bulk
Functional: GGA-PBE
Structure: relaxed

Summary:
DOS(E_F) in states/eV per atom: 0.00
SG: C2/m
ΔE_f (raw) in eV/atom: -1.9881

Cell lengths 6.497, 6.986, 7.002 Å; angles 116.73, 90.00, 117.71 degrees
Element x y z (fractional)
1 Ba 0.500 0.000 0.500
2 Tl 0.733 0.465 0.172
3 Tl 0.267 0.535 0.828
4 Ag 0.930 0.859 0.760
5 Ag 0.070 0.141 0.240
6 F 0.726 0.452 0.576
7 F 0.150 0.827 0.170
8 F 0.322 0.173 0.830
9 F 0.850 0.173 0.830
10 F 0.678 0.827 0.170
11 F 0.274 0.548 0.424



17.
Compound: BaTmAgF6
Source: Alexandria via LeMat-Bulk
Functional: GGA-PBE
Structure: relaxed

Summary:
DOS(E_F) in states/eV per atom: 0.00
SG: P-31c
ΔE_f (raw) in eV/atom: -3.3402

Cell lengths 6.086, 6.086, 11.096 Å; angles 90.00, 90.00, 120.00 degrees
Each line ends with the local moment (μB).
Element x y z (fractional)
1 Ba 0.000 0.000 0.000  0.00
2 Ba 0.000 0.000 0.500  0.00
3 Tm 0.667 0.333 0.250  0.00
4 Tm 0.333 0.667 0.750  0.00
5 Ag 0.333 0.667 0.250  0.11
6 Ag 0.667 0.333 0.750  0.11
7 F 0.672 0.628 0.140  0.00
8 F 0.956 0.328 0.140  0.00
9 F 0.328 0.956 0.640  0.00
10 F 0.044 0.672 0.860  0.00
11 F 0.372 0.328 0.360  0.00
12 F 0.956 0.628 0.360  0.00
13 F 0.628 0.956 0.860  0.00
14 F 0.672 0.044 0.360  0.00
15 F 0.044 0.372 0.640  0.00
16 F 0.372 0.044 0.140  0.00
17 F 0.628 0.672 0.640  0.00
18 F 0.328 0.372 0.860  0.00